Entry 1:
This record from Alexandria describes an optimized crystal structure of Ac2NdEu. The functional is PBE-GGA.

CIF file:
```
data_Ac2NdEu
_cell_length_a 5.5529
_cell_length_b 5.5529
_cell_length_c 5.3383
_cell_angle_alpha 90.00
_cell_angle_beta 90.00
_cell_angle_gamma 90.00
_symmetry_space_group_name_H-M 'P 4/m m m'
_symmetry_Int_Tables_number 123
_symmetry_space_group_name_Hall '-P 4 2'
loop_
_atom_site_label
_atom_site_type_symbol
_atom_site_fract_x
_atom_site_fract_y
_atom_site_fract_z
Ac1 Ac 0.0000 0.5000 0.0000
Nd1 Nd 0.0000 0.0000 0.5000
Eu1 Eu 0.5000 0.5000 0.5000
```

Properties
Formation enthalpy at 0 K   0.045 eV/atom
Distance to the lowest polymorph of the same formula   31 meV per atom

***

Entry 2:
This record from Alexandria describes an optimized crystal structure of Ac2NdEu. The functional is PBE-GGA.

CIF file:
```
data_Ac2NdEu
_cell_length_a 3.9046
_cell_length_b 3.9046
_cell_length_c 37.8392
_cell_angle_alpha 90.00
_cell_angle_beta 90.00
_cell_angle_gamma 120.00
_symmetry_space_group_name_H-M 'R -3 m'
_symmetry_Int_Tables_number 166
_symmetry_space_group_name_Hall '-R 3 2"'
loop_
_atom_site_label
_atom_site_type_symbol
_atom_site_fract_x
_atom_site_fract_y
_atom_site_fract_z
Ac1 Ac 0.0000 0.0000 0.2473
Nd1 Nd 0.0000 0.0000 0.5000
Eu1 Eu 0.0000 0.0000 0.0000
```

Properties
Formation enthalpy at 0 K   0.014 eV/atom
Distance to the lowest polymorph of the same formula   0 meV per atom

***

Entry 3:
This record from Alexandria describes an optimized crystal structure of AcNdEu4. The functional is PBE-GGA.

CIF file:
```
data_AcNdEu4
_cell_length_a 10.0094
_cell_length_b 10.0094
_cell_length_c 10.0094
_cell_angle_alpha 90.00
_cell_angle_beta 90.00
_cell_angle_gamma 90.00
_symmetry_space_group_name_H-M 'F -4 3 m'
_symmetry_Int_Tables_number 216
_symmetry_space_group_name_Hall 'F -4 2 3'
loop_
_atom_site_label
_atom_site_type_symbol
_atom_site_fract_x
_atom_site_fract_y
_atom_site_fract_z
Ac1 Ac 0.0000 0.0000 0.0000
Nd1 Nd 0.2500 0.2500 0.7500
Eu1 Eu 0.1242 0.1242 0.3758
```

Properties
Formation enthalpy at 0 K   0.215 eV/atom

***

Entry 4:
This record from Alexandria describes an optimized crystal structure of Ac4NdEu. The functional is PBE-GGA.

CIF file:
```
data_Ac4NdEu
_cell_length_a 10.3304
_cell_length_b 10.3304
_cell_length_c 10.3304
_cell_angle_alpha 90.00
_cell_angle_beta 90.00
_cell_angle_gamma 90.00
_symmetry_space_group_name_H-M 'F -4 3 m'
_symmetry_Int_Tables_number 216
_symmetry_space_group_name_Hall 'F -4 2 3'
loop_
_atom_site_label
_atom_site_type_symbol
_atom_site_fract_x
_atom_site_fract_y
_atom_site_fract_z
Ac1 Ac 0.1241 0.1241 0.3759
Nd1 Nd 0.2500 0.2500 0.7500
Eu1 Eu 0.0000 0.0000 0.0000
```

Properties
Formation enthalpy at 0 K   0.270 eV/atom

***

Entry 5:
This record from Alexandria describes an optimized crystal structure of AcNd4Eu. The functional is PBE-GGA.

CIF file:
```
data_AcNd4Eu
_cell_length_a 9.8157
_cell_length_b 9.8157
_cell_length_c 9.8157
_cell_angle_alpha 90.00
_cell_angle_beta 90.00
_cell_angle_gamma 90.00
_symmetry_space_group_name_H-M 'F -4 3 m'
_symmetry_Int_Tables_number 216
_symmetry_space_group_name_Hall 'F -4 2 3'
loop_
_atom_site_label
_atom_site_type_symbol
_atom_site_fract_x
_atom_site_fract_y
_atom_site_fract_z
Ac1 Ac 0.0000 0.0000 0.0000
Nd1 Nd 0.1263 0.1263 0.6263
Eu1 Eu 0.2500 0.2500 0.2500
```

Properties
Formation enthalpy at 0 K   0.191 eV/atom

***

Entry 6:
This record from Alexandria describes an optimized crystal structure of Ac2NdEu. The functional is PBE-GGA.

CIF file:
```
data_Ac2NdEu
_cell_length_a 3.9249
_cell_length_b 3.9249
_cell_length_c 10.8376
_cell_angle_alpha 90.00
_cell_angle_beta 90.00
_cell_angle_gamma 90.00
_symmetry_space_group_name_H-M 'P 4/m m m'
_symmetry_Int_Tables_number 123
_symmetry_space_group_name_Hall '-P 4 2'
loop_
_atom_site_label
_atom_site_type_symbol
_atom_site_fract_x
_atom_site_fract_y
_atom_site_fract_z
Ac1 Ac 0.0000 0.0000 0.2381
Nd1 Nd 0.5000 0.5000 0.0000
Eu1 Eu 0.5000 0.5000 0.5000
```

Properties
Formation enthalpy at 0 K   0.022 eV/atom
Distance to the lowest polymorph of the same formula   8 meV per atom

***

Entry 7:
This record from Alexandria describes an optimized crystal structure of Ac2NdEu. The functional is PBE-GGA.

CIF file:
```
data_Ac2NdEu
_cell_length_a 8.7260
_cell_length_b 8.7260
_cell_length_c 8.7260
_cell_angle_alpha 90.00
_cell_angle_beta 90.00
_cell_angle_gamma 90.00
_symmetry_space_group_name_H-M 'F m -3 m'
_symmetry_Int_Tables_number 225
_symmetry_space_group_name_Hall '-F 4 2 3'
loop_
_atom_site_label
_atom_site_type_symbol
_atom_site_fract_x
_atom_site_fract_y
_atom_site_fract_z
Ac1 Ac 0.2500 0.2500 0.2500
Nd1 Nd 0.0000 0.0000 0.0000
Eu1 Eu 0.0000 0.0000 0.5000
```

Properties
Formation enthalpy at 0 K   0.091 eV/atom
Distance to the lowest polymorph of the same formula   78 meV per atom

***

Entry 8:
This record from Alexandria describes an optimized crystal structure of AcNdEuPb. The functional is PBE-GGA.

CIF file:
```
data_AcNdEuPb
_cell_length_a 8.2009
_cell_length_b 8.2009
_cell_length_c 8.2009
_cell_angle_alpha 90.00
_cell_angle_beta 90.00
_cell_angle_gamma 90.00
_symmetry_space_group_name_H-M 'F -4 3 m'
_symmetry_Int_Tables_number 216
_symmetry_space_group_name_Hall 'F -4 2 3'
loop_
_atom_site_label
_atom_site_type_symbol
_atom_site_fract_x
_atom_site_fract_y
_atom_site_fract_z
Ac1 Ac 0.0000 0.0000 0.0000
Nd1 Nd 0.2500 0.2500 0.7500
Eu1 Eu 0.2500 0.2500 0.2500
Pb1 Pb 0.0000 0.0000 0.5000
```

Properties
Formation enthalpy at 0 K   -0.102 eV/atom

***

Entry 9:
This record from Alexandria describes an optimized crystal structure of AcPmNdEu. The functional is PBE-GGA.

CIF file:
```
data_AcPmNdEu
_cell_length_a 8.5336
_cell_length_b 8.5336
_cell_length_c 8.5336
_cell_angle_alpha 90.00
_cell_angle_beta 90.00
_cell_angle_gamma 90.00
_symmetry_space_group_name_H-M 'F -4 3 m'
_symmetry_Int_Tables_number 216
_symmetry_space_group_name_Hall 'F -4 2 3'
loop_
_atom_site_label
_atom_site_type_symbol
_atom_site_fract_x
_atom_site_fract_y
_atom_site_fract_z
Ac1 Ac 0.0000 0.0000 0.0000
Pm1 Pm 0.2500 0.2500 0.2500
Nd1 Nd 0.2500 0.2500 0.7500
Eu1 Eu 0.0000 0.0000 0.5000
```

Properties
Formation enthalpy at 0 K   0.144 eV/atom

***

Entry 10:
This record from Alexandria describes an optimized crystal structure of AcNdEuSc. The functional is PBE-GGA.

CIF file:
```
data_AcNdEuSc
_cell_length_a 8.3115
_cell_length_b 8.3115
_cell_length_c 8.3115
_cell_angle_alpha 90.00
_cell_angle_beta 90.00
_cell_angle_gamma 90.00
_symmetry_space_group_name_H-M 'F -4 3 m'
_symmetry_Int_Tables_number 216
_symmetry_space_group_name_Hall 'F -4 2 3'
loop_
_atom_site_label
_atom_site_type_symbol
_atom_site_fract_x
_atom_site_fract_y
_atom_site_fract_z
Ac1 Ac 0.0000 0.0000 0.0000
Nd1 Nd 0.2500 0.2500 0.7500
Eu1 Eu 0.2500 0.2500 0.2500
Sc1 Sc 0.0000 0.0000 0.5000
```

Properties
Formation enthalpy at 0 K   0.200 eV/atom

***

Entry 11:
This record from Alexandria describes an optimized crystal structure of AcNdEuSn. The functional is PBE-GGA.

CIF file:
```
data_AcNdEuSn
_cell_length_a 8.1029
_cell_length_b 8.1029
_cell_length_c 8.1029
_cell_angle_alpha 90.00
_cell_angle_beta 90.00
_cell_angle_gamma 90.00
_symmetry_space_group_name_H-M 'F -4 3 m'
_symmetry_Int_Tables_number 216
_symmetry_space_group_name_Hall 'F -4 2 3'
loop_
_atom_site_label
_atom_site_type_symbol
_atom_site_fract_x
_atom_site_fract_y
_atom_site_fract_z
Ac1 Ac 0.0000 0.0000 0.0000
Nd1 Nd 0.2500 0.2500 0.7500
Eu1 Eu 0.2500 0.2500 0.2500
Sn1 Sn 0.0000 0.0000 0.5000
```

Properties
Formation enthalpy at 0 K   -0.187 eV/atom

***

Entry 12:
This record from Alexandria describes an optimized crystal structure of AcNdEuTl. The functional is PBE-GGA.

CIF file:
```
data_AcNdEuTl
_cell_length_a 8.2069
_cell_length_b 8.2069
_cell_length_c 8.2069
_cell_angle_alpha 90.00
_cell_angle_beta 90.00
_cell_angle_gamma 90.00
_symmetry_space_group_name_H-M 'F -4 3 m'
_symmetry_Int_Tables_number 216
_symmetry_space_group_name_Hall 'F -4 2 3'
loop_
_atom_site_label
_atom_site_type_symbol
_atom_site_fract_x
_atom_site_fract_y
_atom_site_fract_z
Ac1 Ac 0.0000 0.0000 0.0000
Nd1 Nd 0.2500 0.2500 0.2500
Eu1 Eu 0.2500 0.2500 0.7500
Tl1 Tl 0.0000 0.0000 0.5000
```

Properties
Formation enthalpy at 0 K   -0.003 eV/atom

***

Entry 13:
This record from Alexandria describes an optimized crystal structure of AcEuNi. The functional is PBE-GGA.

CIF file:
```
data_AcEuNi
_cell_length_a 3.6876
_cell_length_b 3.6876
_cell_length_c 13.3491
_cell_angle_alpha 90.00
_cell_angle_beta 90.00
_cell_angle_gamma 90.00
_symmetry_space_group_name_H-M 'I 4 m m'
_symmetry_Int_Tables_number 107
_symmetry_space_group_name_Hall 'I 4 -2'
loop_
_atom_site_label
_atom_site_type_symbol
_atom_site_fract_x
_atom_site_fract_y
_atom_site_fract_z
Ac1 Ac 0.0000 0.0000 0.0000
Eu1 Eu 0.0000 0.0000 0.2552
Ni1 Ni 0.0000 0.0000 0.6191
```

Properties
Formation enthalpy at 0 K   -0.074 eV/atom
Distance to the lowest polymorph of the same formula   39 meV per atom

***

Entry 14:
This record from Alexandria describes an optimized crystal structure of AcEu3Ni. The functional is PBE-GGA.

CIF file:
```
data_AcEu3Ni
_cell_length_a 5.6926
_cell_length_b 5.6926
_cell_length_c 5.6926
_cell_angle_alpha 90.00
_cell_angle_beta 90.00
_cell_angle_gamma 90.00
_symmetry_space_group_name_H-M 'P m -3 m'
_symmetry_Int_Tables_number 221
_symmetry_space_group_name_Hall '-P 4 2 3'
loop_
_atom_site_label
_atom_site_type_symbol
_atom_site_fract_x
_atom_site_fract_y
_atom_site_fract_z
Ac1 Ac 0.0000 0.0000 0.0000
Eu1 Eu 0.0000 0.5000 0.5000
Ni1 Ni 0.5000 0.5000 0.5000
```

Properties
Formation enthalpy at 0 K   0.021 eV/atom

***

Entry 15:
This record from Alexandria describes an optimized crystal structure of AcEuNi. The functional is PBE-GGA.

CIF file:
```
data_AcEuNi
_cell_length_a 4.2070
_cell_length_b 4.2070
_cell_length_c 6.6803
_cell_angle_alpha 90.00
_cell_angle_beta 90.00
_cell_angle_gamma 120.00
_symmetry_space_group_name_H-M 'P 3 m 1'
_symmetry_Int_Tables_number 156
_symmetry_space_group_name_Hall 'P 3 -2"'
loop_
_atom_site_label
_atom_site_type_symbol
_atom_site_fract_x
_atom_site_fract_y
_atom_site_fract_z
Ac1 Ac 0.0000 0.0000 0.0000
Eu1 Eu 0.3333 0.6667 0.4734
Ni1 Ni 0.6667 0.3333 0.2304
```

Properties
Formation enthalpy at 0 K   -0.114 eV/atom
Distance to the lowest polymorph of the same formula   0 meV per atom